! Pm2SnBi6 (PBE-GGA, optimized geometry); values from VASP
! Magnetization = 0.00 Bohr magnetons per cell
! Volume = 32.84 Å³/atom
! Formation energy = -0.334 eV per atom
&SYSTEM
  ibrav = 0, nat = 9, ntyp = 3
/
ATOMIC_SPECIES
Pm 145.00 Pm.upf
Sn 118.71 Sn.upf
Bi 208.98 Bi.upf
CELL_PARAMETERS angstrom
4.1671 0.0000 0.0000
0.0000 7.7135 4.5977
0.0000 -7.7135 4.5977
ATOMIC_POSITIONS crystal
Pm 0.0000 0.1690 0.8310
Pm 0.0000 0.8310 0.1690
Sn 0.5000 0.5056 0.5056
Bi 0.0000 0.2188 0.4873
Bi 0.0000 0.4873 0.2188
Bi 0.0000 0.7756 0.7756
Bi 0.5000 0.0425 0.0425
Bi 0.5000 0.5043 0.9529
Bi 0.5000 0.9529 0.5043



! U3B7Ru (PBE-GGA, optimized geometry); values from VASP
! Magnetization = 10.35 Bohr magnetons per cell
! Volume = 11.44 Å³/atom
! Formation energy = -0.378 eV per atom
&SYSTEM
  ibrav = 0, nat = 22, ntyp = 3
/
ATOMIC_SPECIES
U 238.03 U.upf
B 10.81 B.upf
Ru 101.07 Ru.upf
CELL_PARAMETERS angstrom
1.7287 -7.8057 0.0000
1.7287 7.8057 0.0000
0.0000 0.0000 9.3264
ATOMIC_POSITIONS crystal
U 0.1077 0.8923 0.5633
U 0.1077 0.8923 0.9367
U 0.2566 0.7434 0.2500
U 0.7434 0.2566 0.7500
U 0.8923 0.1077 0.0633
U 0.8923 0.1077 0.4367
B 0.2740 0.7260 0.5330
B 0.2740 0.7260 0.9670
B 0.3644 0.6356 0.6524
B 0.3644 0.6356 0.8476
B 0.4577 0.5423 0.2500
B 0.4790 0.5210 0.5909
B 0.4790 0.5210 0.9091
B 0.5210 0.4790 0.0909
B 0.5210 0.4790 0.4091
B 0.5423 0.4577 0.7500
B 0.6356 0.3644 0.1524
B 0.6356 0.3644 0.3476
B 0.7260 0.2740 0.0330
B 0.7260 0.2740 0.4670
Ru 0.0550 0.9450 0.2500
Ru 0.9450 0.0550 0.7500



! K3Tb3ZrSe8 (PBE-GGA, optimized geometry); values from VASP
! Formation energy from raw total energies = -2432 kJ/mol of formula units
! Magnetization = 0.00 Bohr magnetons per cell
! Volume = 30.95 Å³/atom
&SYSTEM
  ibrav = 0, nat = 15, ntyp = 4
/
ATOMIC_SPECIES
K 39.10 K.upf
Tb 158.93 Tb.upf
Zr 91.22 Zr.upf
Se 78.96 Se.upf
CELL_PARAMETERS angstrom
4.1346 2.3871 7.8390
-4.1346 2.3871 7.8390
0.0000 -4.7742 7.8390
ATOMIC_POSITIONS crystal
K 0.0000 0.5000 0.5000
K 0.5000 0.0000 0.5000
K 0.5000 0.5000 0.0000
Tb 0.0000 0.0000 0.5000
Tb 0.0000 0.5000 0.0000
Tb 0.5000 0.0000 0.0000
Zr 0.5000 0.5000 0.5000
Se 0.2353 0.2353 0.2353
Se 0.2479 0.7249 0.7249
Se 0.2751 0.2751 0.7521
Se 0.2751 0.7521 0.2751
Se 0.7249 0.2479 0.7249
Se 0.7249 0.7249 0.2479
Se 0.7521 0.2751 0.2751
Se 0.7647 0.7647 0.7647